VASP calculation (PBE-GGA) on an optimized crystal structure of CsBePbAu.

POSCAR file:
```
CsBePbAu
1.0
4.392 -3.228 -0.100
-0.364 -5.153 1.744
0.280 -4.112 -3.569
Pb Au Cs Be
1 1 1 1
Cartesian
2.154 -6.247 -0.962
3.231 -9.370 -1.443
0.000 0.000 0.000
1.077 -3.123 -0.481
```

Results
- polymorph energy (0 for the lowest one) (eV per formula unit) = 0.00
- crystal system = cubic
- total DFT energy (no corrections) (eV per atom) = -2.246
- symmetry = F-43m (216)